(1)
Material: NpReBr2O6
Method: DFT, GGA-PBE
State: relaxed

ρ: 4.99 g/cm³
Uncorrected formation energy: -1.434 eV/atom
Density of states at the Fermi level: 0.5343 states/eV/atom

Unit cell a=5.7387 b=5.7395 c=7.0913 alpha=79.58 beta=79.92 gamma=89.88
Element x y z (fractional)
Np 0.0000 0.0000 0.0000
Re 0.5000 0.5000 0.0000
Br 0.3586 0.6441 0.5013
Br 0.6414 0.3559 0.4987
O 0.0577 0.0578 0.7394
O 0.2733 0.7254 0.0009
O 0.2737 0.2726 0.0076
O 0.7263 0.7274 0.9924
O 0.7267 0.2746 0.9991
O 0.9423 0.9422 0.2606


(2)
Material: NpSBr2O6
Method: DFT, GGA-PBE
State: relaxed

ρ: 4.54 g/cm³
Uncorrected formation energy: -1.193 eV/atom
Density of states at the Fermi level: 0.5651 states/eV/atom

Unit cell a=5.2174 b=5.3616 c=6.9607 alpha=81.98 beta=85.04 gamma=88.27
Element x y z (fractional)
Np 0.0000 0.0000 0.0000
S 0.5000 0.5000 0.0000
Br 0.3737 0.6518 0.5706
Br 0.6263 0.3482 0.4294
O 0.0921 0.9963 0.7453
O 0.2523 0.6532 0.0671
O 0.3363 0.2580 0.0154
O 0.6637 0.7420 0.9846
O 0.7477 0.3468 0.9329
O 0.9079 0.0037 0.2547


(3)
Material: NpS2BrO8
Method: DFT, GGA-PBE
State: relaxed

ρ: 4.48 g/cm³
Uncorrected formation energy: -1.500 eV/atom
Density of states at the Fermi level: 0.7389 states/eV/atom

Unit cell a=6.0236 b=6.0236 c=6.0109 alpha=90.00 beta=90.00 gamma=120.00
Element x y z (fractional)
Np 0.0000 0.0000 0.0000
S 0.3333 0.6667 0.7664
S 0.6667 0.3333 0.2336
Br 0.0000 0.0000 0.5000
O 0.2006 0.4011 0.8628
O 0.2006 0.7994 0.8628
O 0.3333 0.6667 0.5280
O 0.4011 0.2006 0.1372
O 0.5989 0.7994 0.8628
O 0.6667 0.3333 0.4720
O 0.7994 0.2006 0.1372
O 0.7994 0.5989 0.1372